1.
VASP calculation (GGA-PBE) on an optimized crystal structure of SrCa2Zr.

Cell and atoms, written as CIF:
```
data_SrCa2Zr
_chemical_formula_sum 'Sr1 Ca2 Zr1'
_symmetry_space_group_name_H-M 'P 1'
_symmetry_Int_Tables_number 1
_symmetry_space_group_name_Hall 'P 1'
_cell_length_a 3.673
_cell_length_b 5.242
_cell_length_c 7.685
_cell_angle_alpha 90.00
_cell_angle_beta 90.00
_cell_angle_gamma 90.00
loop_
_atom_site_label
_atom_site_fract_x
_atom_site_fract_y
_atom_site_fract_z
_atom_site_occupancy
Sr1 0.000 0.000 0.000 1
Ca1 0.000 0.000 0.458 1
Ca2 0.500 0.500 0.714 1
Zr1 0.500 0.500 0.245 1
```

Calculated values
The energy relative to the elements comes out at 389 meV/atom. For the density of states at the Fermi level, the calculation gives 1.255 states/eV per atom. Its space group is Pmm2. The calculation puts the total energy at -3.170 eV per atom.

=====

2.
VASP calculation (GGA-PBE) on an optimized crystal structure of Sr2CaZr.

Cell and atoms, written as CIF:
```
data_Sr2CaZr
_chemical_formula_sum 'Sr2 Ca1 Zr1'
_symmetry_space_group_name_H-M 'P 1'
_symmetry_Int_Tables_number 1
_symmetry_space_group_name_Hall 'P 1'
_cell_length_a 6.639
_cell_length_b 6.639
_cell_length_c 6.734
_cell_angle_alpha 100.69
_cell_angle_beta 100.69
_cell_angle_gamma 32.87
loop_
_atom_site_label
_atom_site_fract_x
_atom_site_fract_y
_atom_site_fract_z
_atom_site_occupancy
Sr1 0.000 0.000 0.000 1
Sr2 0.234 0.234 0.714 1
Ca1 0.762 0.762 0.257 1
Zr1 0.489 0.489 0.489 1
```

Calculated values
The energy relative to the elements comes out at 424 meV/atom. For the density of states at the Fermi level, the calculation gives 1.198 states/eV per atom. Its space group is Cm. The calculation puts the total energy at -3.054 eV per atom.

=====

3.
VASP calculation (GGA-PBE) on an optimized crystal structure of SrCa2Zr.

Cell and atoms, written as CIF:
```
data_SrCa2Zr
_chemical_formula_sum 'Sr1 Ca2 Zr1'
_symmetry_space_group_name_H-M 'P 1'
_symmetry_Int_Tables_number 1
_symmetry_space_group_name_Hall 'P 1'
_cell_length_a 3.554
_cell_length_b 5.829
_cell_length_c 7.155
_cell_angle_alpha 90.00
_cell_angle_beta 100.69
_cell_angle_gamma 90.00
loop_
_atom_site_label
_atom_site_fract_x
_atom_site_fract_y
_atom_site_fract_z
_atom_site_occupancy
Sr1 0.000 0.000 0.000 1
Ca1 0.261 0.500 0.725 1
Ca2 0.739 0.500 0.275 1
Zr1 0.500 0.000 0.500 1
```

Calculated values
The energy relative to the elements comes out at 395 meV/atom. For the density of states at the Fermi level, the calculation gives 1.610 states/eV per atom. Its space group is P2/m. The calculation puts the total energy at -3.164 eV per atom.

=====

4.
VASP calculation (GGA-PBE) on an optimized crystal structure of SrCaZr2.

Cell and atoms, written as CIF:
```
data_SrCaZr2
_chemical_formula_sum 'Sr1 Ca1 Zr2'
_symmetry_space_group_name_H-M 'P 1'
_symmetry_Int_Tables_number 1
_symmetry_space_group_name_Hall 'P 1'
_cell_length_a 6.788
_cell_length_b 6.788
_cell_length_c 6.788
_cell_angle_alpha 147.62
_cell_angle_beta 133.05
_cell_angle_gamma 58.18
loop_
_atom_site_label
_atom_site_fract_x
_atom_site_fract_y
_atom_site_fract_z
_atom_site_occupancy
Sr1 0.000 0.000 0.000 1
Ca1 0.500 0.500 0.000 1
Zr1 0.257 0.757 0.500 1
Zr2 0.743 0.243 0.500 1
```

Calculated values
The energy relative to the elements comes out at 555 meV/atom. For the density of states at the Fermi level, the calculation gives 1.386 states/eV per atom. Its space group is Immm. The calculation puts the total energy at -4.640 eV per atom.

=====

5.
VASP calculation (GGA-PBE) on an optimized crystal structure of SrCaZr.

Cell and atoms, written as CIF:
```
data_SrCaZr
_chemical_formula_sum 'Sr2 Ca2 Zr2'
_symmetry_space_group_name_H-M 'P 1'
_symmetry_Int_Tables_number 1
_symmetry_space_group_name_Hall 'P 1'
_cell_length_a 3.615
_cell_length_b 6.603
_cell_length_c 9.944
_cell_angle_alpha 73.25
_cell_angle_beta 80.31
_cell_angle_gamma 75.25
loop_
_atom_site_label
_atom_site_fract_x
_atom_site_fract_y
_atom_site_fract_z
_atom_site_occupancy
Sr1 0.000 0.000 0.000 1
Sr2 0.319 0.562 0.778 1
Ca1 0.332 0.912 0.400 1
Ca2 0.654 0.450 0.192 1
Zr1 0.033 0.407 0.495 1
Zr2 0.626 0.075 0.664 1
```

Calculated values
The energy relative to the elements comes out at 310 meV/atom. For the density of states at the Fermi level, the calculation gives 1.517 states/eV per atom. Its space group is P1. The calculation puts the total energy at -3.767 eV per atom.

=====

6.
VASP calculation (GGA-PBE) on an optimized crystal structure of SrCa2Zr.

Cell and atoms, written as CIF:
```
data_SrCa2Zr
_chemical_formula_sum 'Sr1 Ca2 Zr1'
_symmetry_space_group_name_H-M 'P 1'
_symmetry_Int_Tables_number 1
_symmetry_space_group_name_Hall 'P 1'
_cell_length_a 6.457
_cell_length_b 6.457
_cell_length_c 6.607
_cell_angle_alpha 99.36
_cell_angle_beta 99.36
_cell_angle_gamma 32.75
loop_
_atom_site_label
_atom_site_fract_x
_atom_site_fract_y
_atom_site_fract_z
_atom_site_occupancy
Sr1 0.000 0.000 0.000 1
Ca1 0.518 0.518 0.532 1
Ca2 0.760 0.760 0.274 1
Zr1 0.255 0.255 0.758 1
```

Calculated values
The energy relative to the elements comes out at 388 meV/atom. For the density of states at the Fermi level, the calculation gives 1.099 states/eV per atom. Its space group is Cm. The calculation puts the total energy at -3.170 eV per atom.

=====

7.
VASP calculation (GGA-PBE) on an optimized crystal structure of Sr4CaZr.

Cell and atoms, written as CIF:
```
data_Sr4CaZr
_chemical_formula_sum 'Sr4 Ca1 Zr1'
_symmetry_space_group_name_H-M 'P 1'
_symmetry_Int_Tables_number 1
_symmetry_space_group_name_Hall 'P 1'
_cell_length_a 7.290
_cell_length_b 7.290
_cell_length_c 7.290
_cell_angle_alpha 60.00
_cell_angle_beta 60.00
_cell_angle_gamma 60.00
loop_
_atom_site_label
_atom_site_fract_x
_atom_site_fract_y
_atom_site_fract_z
_atom_site_occupancy
Sr1 0.124 0.124 0.124 1
Sr2 0.124 0.124 0.628 1
Sr3 0.124 0.628 0.124 1
Sr4 0.628 0.124 0.124 1
Ca1 0.500 0.500 0.500 1
Zr1 0.750 0.750 0.750 1
```

Calculated values
The energy relative to the elements comes out at 617 meV/atom. For the density of states at the Fermi level, the calculation gives 2.410 states/eV per atom. Its space group is F-43m. The calculation puts the total energy at -2.262 eV per atom.

=====

8.
VASP calculation (GGA-PBE) on an optimized crystal structure of SrCaZr2.

Cell and atoms, written as CIF:
```
data_SrCaZr2
_chemical_formula_sum 'Sr1 Ca1 Zr2'
_symmetry_space_group_name_H-M 'P 1'
_symmetry_Int_Tables_number 1
_symmetry_space_group_name_Hall 'P 1'
_cell_length_a 3.817
_cell_length_b 5.392
_cell_length_c 5.912
_cell_angle_alpha 90.00
_cell_angle_beta 90.00
_cell_angle_gamma 90.00
loop_
_atom_site_label
_atom_site_fract_x
_atom_site_fract_y
_atom_site_fract_z
_atom_site_occupancy
Sr1 0.000 0.000 0.000 1
Ca1 0.500 0.500 0.000 1
Zr1 0.000 0.500 0.500 1
Zr2 0.500 0.000 0.500 1
```

Calculated values
The energy relative to the elements comes out at 561 meV/atom. For the density of states at the Fermi level, the calculation gives 1.271 states/eV per atom. Its space group is Pmmm. The calculation puts the total energy at -4.634 eV per atom.

=====

9.
VASP calculation (GGA-PBE) on an optimized crystal structure of SrCa2Zr.

Cell and atoms, written as CIF:
```
data_SrCa2Zr
_chemical_formula_sum 'Sr1 Ca2 Zr1'
_symmetry_space_group_name_H-M 'P 1'
_symmetry_Int_Tables_number 1
_symmetry_space_group_name_Hall 'P 1'
_cell_length_a 5.887
_cell_length_b 5.887
_cell_length_c 5.887
_cell_angle_alpha 60.00
_cell_angle_beta 60.00
_cell_angle_gamma 60.00
loop_
_atom_site_label
_atom_site_fract_x
_atom_site_fract_y
_atom_site_fract_z
_atom_site_occupancy
Sr1 0.000 0.000 0.000 1
Ca1 0.250 0.250 0.250 1
Ca2 0.750 0.750 0.750 1
Zr1 0.500 0.500 0.500 1
```

Calculated values
The energy relative to the elements comes out at 442 meV/atom. For the density of states at the Fermi level, the calculation gives 1.979 states/eV per atom. Its space group is Fm-3m. The calculation puts the total energy at -3.116 eV per atom.

=====

10.
VASP calculation (GGA-PBE) on an optimized crystal structure of SrCaZr2.

Cell and atoms, written as CIF:
```
data_SrCaZr2
_chemical_formula_sum 'Sr1 Ca1 Zr2'
_symmetry_space_group_name_H-M 'P 1'
_symmetry_Int_Tables_number 1
_symmetry_space_group_name_Hall 'P 1'
_cell_length_a 3.297
_cell_length_b 5.874
_cell_length_c 6.543
_cell_angle_alpha 90.00
_cell_angle_beta 102.45
_cell_angle_gamma 90.00
loop_
_atom_site_label
_atom_site_fract_x
_atom_site_fract_y
_atom_site_fract_z
_atom_site_occupancy
Sr1 0.000 0.000 0.000 1
Ca1 0.500 0.000 0.500 1
Zr1 0.315 0.500 0.707 1
Zr2 0.685 0.500 0.293 1
```

Calculated values
The energy relative to the elements comes out at 517 meV/atom. For the density of states at the Fermi level, the calculation gives 1.583 states/eV per atom. Its space group is P2/m. The calculation puts the total energy at -4.678 eV per atom.

=====

11.
VASP calculation (GGA-PBE) on an optimized crystal structure of Sr2CaZr.

Cell and atoms, written as CIF:
```
data_Sr2CaZr
_chemical_formula_sum 'Sr2 Ca1 Zr1'
_symmetry_space_group_name_H-M 'P 1'
_symmetry_Int_Tables_number 1
_symmetry_space_group_name_Hall 'P 1'
_cell_length_a 3.761
_cell_length_b 5.439
_cell_length_c 7.714
_cell_angle_alpha 90.00
_cell_angle_beta 90.11
_cell_angle_gamma 90.00
loop_
_atom_site_label
_atom_site_fract_x
_atom_site_fract_y
_atom_site_fract_z
_atom_site_occupancy
Sr1 0.000 0.000 0.231 1
Sr2 0.000 0.000 0.769 1
Ca1 0.500 0.500 0.500 1
Zr1 0.500 0.500 0.000 1
```

Calculated values
The energy relative to the elements comes out at 439 meV/atom. For the density of states at the Fermi level, the calculation gives 1.247 states/eV per atom. Its space group is P2/m. The calculation puts the total energy at -3.039 eV per atom.

=====

12.
VASP calculation (GGA-PBE) on an optimized crystal structure of SrCa2Zr.

Cell and atoms, written as CIF:
```
data_SrCa2Zr
_chemical_formula_sum 'Sr1 Ca2 Zr1'
_symmetry_space_group_name_H-M 'P 1'
_symmetry_Int_Tables_number 1
_symmetry_space_group_name_Hall 'P 1'
_cell_length_a 7.236
_cell_length_b 7.236
_cell_length_c 7.236
_cell_angle_alpha 149.57
_cell_angle_beta 129.09
_cell_angle_gamma 60.47
loop_
_atom_site_label
_atom_site_fract_x
_atom_site_fract_y
_atom_site_fract_z
_atom_site_occupancy
Sr1 0.000 0.000 0.000 1
Ca1 0.274 0.774 0.500 1
Ca2 0.726 0.226 0.500 1
Zr1 0.500 0.500 0.000 1
```

Calculated values
The energy relative to the elements comes out at 396 meV/atom. For the density of states at the Fermi level, the calculation gives 1.528 states/eV per atom. Its space group is Immm. The calculation puts the total energy at -3.162 eV per atom.